Er2Se2I: relaxed, PBE.

Values from the calculation:
D(E_F) = 4.2 states/eV per cell
uncorrected formation energy = -1.585 eV per atom
spin magnetization = 0.00 μB per cell

Cell lengths 4.193, 5.582, 13.008 Å; angles 90.00, 90.00, 90.00 degrees
Atoms (fractional coordinates):
Er 0.000 0.000 0.188
Er 0.000 0.000 0.812
Er 0.500 0.500 0.312
Er 0.500 0.500 0.688
Se 0.000 0.500 0.170
Se 0.000 0.500 0.830
Se 0.500 0.000 0.330
Se 0.500 0.000 0.670
I 0.000 0.500 0.500
I 0.500 0.000 0.000

Er2SeI: relaxed, PBE.

Values from the calculation:
D(E_F) = 7.4 states/eV per cell
distance to the lowest polymorph of the same formula = 0.1948 eV per atom
uncorrected formation energy = -0.939 eV per atom
spin magnetization = 0.72 μB per cell

Cell lengths 3.975, 7.095, 9.035 Å; angles 89.85, 89.77, 89.99 degrees
Atoms (fractional coordinates):
Er 0.000 0.000 0.000
Er 0.000 0.194 0.584
Er 0.498 0.695 0.250
Er 0.499 0.497 0.833
Se 0.501 0.445 0.508
Se 0.997 0.946 0.325
I 0.000 0.798 0.715
I 0.499 0.300 0.120

Er5Se12I3: relaxed, PBE.

Values from the calculation:
D(E_F) = 22.8 states/eV per cell
uncorrected formation energy = -0.656 eV per atom
spin magnetization = 0.00 μB per cell

Cell lengths 15.169, 15.169, 15.169 Å; angles 109.47, 109.47, 109.47 degrees
Atoms (fractional coordinates):
Er 0.000 0.000 0.000
Er 0.000 0.000 0.500
Er 0.000 0.500 0.000
Er 0.000 0.500 0.500
Er 0.125 0.750 0.875
Er 0.125 0.875 0.250
Er 0.250 0.125 0.875
Er 0.250 0.625 0.375
Er 0.375 0.250 0.625
Er 0.375 0.625 0.750
Er 0.500 0.000 0.000
Er 0.500 0.000 0.500
Er 0.500 0.500 0.000
Er 0.500 0.500 0.500
Er 0.625 0.375 0.250
Er 0.625 0.750 0.375
Er 0.750 0.375 0.625
Er 0.750 0.875 0.125
Er 0.875 0.125 0.750
Er 0.875 0.250 0.125
Se 0.031 0.197 0.145
Se 0.031 0.335 0.886
Se 0.051 0.697 0.665
Se 0.051 0.855 0.386
Se 0.114 0.645 0.449
Se 0.114 0.969 0.665
Se 0.145 0.031 0.197
Se 0.145 0.614 0.949
Se 0.165 0.197 0.551
Se 0.165 0.469 0.614
Se 0.197 0.145 0.031
Se 0.197 0.551 0.165
Se 0.303 0.335 0.949
Se 0.303 0.469 0.355
Se 0.335 0.886 0.031
Se 0.335 0.949 0.303
Se 0.355 0.303 0.469
Se 0.355 0.551 0.886
Se 0.386 0.051 0.855
Se 0.386 0.835 0.531
Se 0.449 0.114 0.645
Se 0.449 0.835 0.803
Se 0.469 0.355 0.303
Se 0.469 0.614 0.165
Se 0.531 0.386 0.835
Se 0.531 0.645 0.697
Se 0.551 0.165 0.197
Se 0.551 0.886 0.355
Se 0.614 0.165 0.469
Se 0.614 0.949 0.145
Se 0.645 0.449 0.114
Se 0.645 0.697 0.531
Se 0.665 0.051 0.697
Se 0.665 0.114 0.969
Se 0.697 0.531 0.645
Se 0.697 0.665 0.051
Se 0.803 0.449 0.835
Se 0.803 0.855 0.969
Se 0.835 0.531 0.386
Se 0.835 0.803 0.449
Se 0.855 0.386 0.051
Se 0.855 0.969 0.803
Se 0.886 0.031 0.335
Se 0.886 0.355 0.551
Se 0.949 0.145 0.614
Se 0.949 0.303 0.335
Se 0.969 0.665 0.114
Se 0.969 0.803 0.855
I 0.125 0.250 0.375
I 0.125 0.375 0.750
I 0.250 0.375 0.125
I 0.250 0.875 0.625
I 0.375 0.125 0.250
I 0.375 0.750 0.125
I 0.625 0.250 0.875
I 0.625 0.875 0.750
I 0.750 0.125 0.375
I 0.750 0.625 0.875
I 0.875 0.625 0.250
I 0.875 0.750 0.625

Er2SeI2: relaxed, PBE.

Values from the calculation:
D(E_F) = 5.6 states/eV per cell
uncorrected formation energy = -1.111 eV per atom
spin magnetization = 0.00 μB per cell

Cell lengths 7.556, 7.556, 8.621 Å; angles 113.94, 113.94, 47.37 degrees
Atoms (fractional coordinates):
Er 0.018 0.018 0.230
Er 0.301 0.301 0.418
Er 0.699 0.699 0.582
Er 0.982 0.982 0.770
Se 0.155 0.155 0.084
Se 0.845 0.845 0.916
I 0.171 0.171 0.634
I 0.475 0.475 0.251
I 0.525 0.525 0.749
I 0.829 0.829 0.366

Er2SeI2: relaxed, PBE.

Values from the calculation:
D(E_F) = 1.5 states/eV per cell
uncorrected formation energy = -1.457 eV per atom
spin magnetization = 0.00 μB per cell

Cell lengths 7.205, 4.150, 11.854 Å; angles 90.00, 102.98, 90.00 degrees
Atoms (fractional coordinates):
Er 0.213 0.000 0.125
Er 0.287 0.500 0.875
Er 0.713 0.500 0.125
Er 0.787 0.000 0.875
Se 0.000 0.500 0.000
Se 0.500 0.000 0.000
I 0.056 0.000 0.702
I 0.444 0.500 0.298
I 0.556 0.500 0.702
I 0.944 0.000 0.298

Er2SiI3: relaxed, PBE.

Values from the calculation:
D(E_F) = 1.7 states/eV per cell
uncorrected formation energy = -0.965 eV per atom
spin magnetization = 0.00 μB per cell

Cell lengths 10.428, 10.428, 14.489 Å; angles 128.27, 128.27, 22.78 degrees
Atoms (fractional coordinates):
Er 0.100 0.100 0.229
Er 0.375 0.375 0.054
Er 0.625 0.625 0.946
Er 0.900 0.900 0.771
Si 0.058 0.058 0.999
Si 0.942 0.942 0.001
I 0.182 0.182 0.844
I 0.260 0.260 0.654
I 0.464 0.464 0.680
I 0.536 0.536 0.320
I 0.740 0.740 0.346
I 0.818 0.818 0.156

Er4Si2I3: relaxed, PBE.

Values from the calculation:
D(E_F) = 2.8 states/eV per cell
uncorrected formation energy = -1.005 eV per atom
spin magnetization = 0.00 μB per cell

Cell lengths 4.184, 4.184, 19.002 Å; angles 90.01, 90.01, 59.99 degrees
Atoms (fractional coordinates):
Er 0.000 0.000 0.227
Er 0.000 0.000 0.773
Er 0.334 0.334 0.620
Er 0.666 0.666 0.380
Si 0.333 0.333 0.308
Si 0.667 0.667 0.692
I 0.000 0.000 0.500
I 0.334 0.334 0.878
I 0.666 0.666 0.122

Er3Si2I2: relaxed, PBE.

Values from the calculation:
D(E_F) = 4.9 states/eV per cell
uncorrected formation energy = -0.713 eV per atom
spin magnetization = 0.00 μB per cell

Cell lengths 4.048, 7.153, 7.748 Å; angles 81.66, 89.98, 73.63 degrees
Atoms (fractional coordinates):
Er 0.000 0.000 0.000
Er 0.245 0.509 0.785
Er 0.755 0.491 0.215
Si 0.377 0.247 0.106
Si 0.623 0.753 0.894
I 0.124 0.752 0.389
I 0.876 0.248 0.611

Er3SiI3: relaxed, PBE.

Values from the calculation:
D(E_F) = 4.9 states/eV per cell
uncorrected formation energy = -1.049 eV per atom
spin magnetization = 0.00 μB per cell

Cell lengths 12.083, 12.083, 12.083 Å; angles 34.16, 34.16, 34.16 degrees
Atoms (fractional coordinates):
Er 0.118 0.455 0.793
Er 0.207 0.882 0.545
Er 0.455 0.793 0.118
Er 0.545 0.207 0.882
Er 0.793 0.118 0.455
Er 0.882 0.545 0.207
Si 0.167 0.167 0.167
Si 0.833 0.833 0.833
I 0.064 0.728 0.396
I 0.272 0.604 0.936
I 0.396 0.064 0.728
I 0.604 0.936 0.272
I 0.728 0.396 0.064
I 0.936 0.272 0.604

Er2SiI: relaxed, PBE.

Values from the calculation:
D(E_F) = 5.4 states/eV per cell
uncorrected formation energy = -0.847 eV per atom
spin magnetization = 0.00 μB per cell

Cell lengths 4.186, 4.186, 22.047 Å; angles 90.00, 90.00, 120.00 degrees
Atoms (fractional coordinates):
Er 0.000 0.000 0.230
Er 0.000 0.000 0.770
Er 0.333 0.667 0.437
Er 0.333 0.667 0.896
Er 0.667 0.333 0.104
Er 0.667 0.333 0.563
Si 0.000 0.000 0.500
Si 0.333 0.667 0.167
Si 0.667 0.333 0.833
I 0.000 0.000 0.000
I 0.333 0.667 0.667
I 0.667 0.333 0.333